# 1
Compound: Ta2HgPRh
Source: the Alexandria database
Functional: GGA-PBE
Structure: relaxed

Cell: 4.6287 4.6287 4.3940 Å, 90.00 90.00 90.00°
Closest atoms and distances in Å follow each position.
Fractional coordinates of all 5 atoms:
Ta: 0.0000 0.5000 0.0000  2 P 2.31
Ta: 0.5000 0.0000 0.0000  2 P 2.31
Hg: 0.0000 0.0000 0.5000  8 Ta 3.19, 4 Rh 3.27
P: 0.5000 0.5000 0.0000  2 Rh 2.20, 4 Ta 2.31
Rh: 0.5000 0.5000 0.5000  2 P 2.20

Summary:
Density of states at the Fermi level, states/eV per cell: 5.088
Formation energy, eV per atom: 0.231
E_tot, eV per cell: -35.61

# 2
Compound: Tb3HgP2Rh9
Source: the Alexandria database
Functional: GGA-PBE
Structure: relaxed

Cell: 6.0308 6.0308 9.5982 Å, 90.00 90.00 120.00°
Closest atoms and distances in Å follow each position.
Fractional coordinates of all 15 atoms:
Tb: 0.0000 0.0000 0.0000  12 Rh 2.92-3.02
Tb: 0.3333 0.6667 0.7338  9 Rh 3.02-3.09
Tb: 0.6667 0.3333 0.2662  9 Rh 3.02-3.09
Hg: 0.0000 0.0000 0.5000  6 Rh 2.78
P: 0.3333 0.6667 0.1572  6 Rh 2.17-2.30
P: 0.6667 0.3333 0.8428  6 Rh 2.17-2.30
Rh: 0.0000 0.5000 0.0000  2 P 2.30
Rh: 0.1479 0.2959 0.2586  1 P 2.17
Rh: 0.1479 0.8521 0.2586  1 P 2.17
Rh: 0.2959 0.1479 0.7414  1 P 2.17
Rh: 0.5000 0.0000 0.0000  2 P 2.30
Rh: 0.5000 0.5000 0.0000  2 P 2.30
Rh: 0.7041 0.8521 0.2586  1 P 2.17
Rh: 0.8521 0.1479 0.7414  1 P 2.17
Rh: 0.8521 0.7041 0.7414  1 P 2.17

Summary:
Density of states at the Fermi level, states/eV per cell: 14.090
Formation energy, eV per atom: -0.557
E_tot, eV per cell: -99.53

# 3
Compound: Th2HgP3Rh12
Source: the Alexandria database
Functional: GGA-PBE
Structure: relaxed

Cell: 6.8665 6.8665 6.8665 Å, 79.34 79.34 79.34°
Closest atoms and distances in Å follow each position.
Fractional coordinates of all 18 atoms:
Th: 0.1154 0.1154 0.1154  3 Rh 2.53
Th: 0.8846 0.8846 0.8846  3 Rh 2.53
Hg: 0.5000 0.5000 0.5000  6 Rh 2.67
P: 0.0000 0.5000 0.5000  6 Rh 2.24-2.45
P: 0.5000 0.0000 0.5000  6 Rh 2.24-2.45
P: 0.5000 0.5000 0.0000  6 Rh 2.24-2.45
Rh: 0.1428 0.6694 0.6694  1 P 2.24
Rh: 0.1513 0.1513 0.5943  2 P 2.45
Rh: 0.1513 0.5943 0.1513  2 P 2.45
Rh: 0.3306 0.3306 0.8572  1 P 2.24
Rh: 0.3306 0.8572 0.3306  1 P 2.24
Rh: 0.4057 0.8487 0.8487  2 P 2.45
Rh: 0.5943 0.1513 0.1513  2 P 2.45
Rh: 0.6694 0.1428 0.6694  1 P 2.24
Rh: 0.6694 0.6694 0.1428  1 P 2.24
Rh: 0.8487 0.4057 0.8487  2 P 2.45
Rh: 0.8487 0.8487 0.4057  2 P 2.45
Rh: 0.8572 0.3306 0.3306  1 P 2.24

Summary:
Density of states at the Fermi level, states/eV per cell: 14.758
Formation energy, eV per atom: -0.302
E_tot, eV per cell: -125.02

# 4
Compound: TiHgPRh2
Source: the Alexandria database
Functional: GGA-PBE
Structure: relaxed

Cell: 4.9505 4.9505 4.5736 Å, 90.00 90.00 90.00°
Closest atoms and distances in Å follow each position.
Fractional coordinates of all 5 atoms:
Ti: 0.0000 0.0000 0.0000  8 Rh 3.37, 4 P 3.50
Hg: 0.5000 0.5000 0.5000  2 P 2.29, 4 Rh 2.48
P: 0.5000 0.5000 0.0000  2 Hg 2.29
Rh: 0.0000 0.5000 0.5000  2 Hg 2.48
Rh: 0.5000 0.0000 0.5000  2 Hg 2.48

Summary:
Density of states at the Fermi level, states/eV per cell: 8.375
Formation energy, eV per atom: 1.475
E_tot, eV per cell: -20.93